1.
Below is a relaxed Pr2Mg16Ag crystal, with properties calculated at the PBE-GGA level.

```
Pr2Mg16Ag
1.0
7.7178 0.0808 0.9600
0.8579 7.6704 0.9600
0.0894 0.0808 7.7768
Pr Mg Ag
2 16 1
Direct
0.6723 0.6723 0.6723
0.3294 0.3294 0.3294
0.7007 0.0003 0.3003
0.0003 0.3003 0.7007
0.3003 0.7007 0.0003
0.0003 0.7007 0.3003
0.7007 0.3003 0.0003
0.3003 0.0003 0.7007
0.3518 0.8430 0.3518
0.8430 0.3518 0.3518
0.3518 0.3518 0.8430
0.6501 0.1590 0.6501
0.1590 0.6501 0.6501
0.6501 0.6501 0.1590
0.9963 0.5091 0.9963
0.5091 0.9963 0.9963
0.9963 0.9963 0.5091
0.0902 0.0902 0.0902
0.8982 0.8982 0.8982
```

Summary:
ΔH_f (0 K)   -0.07 eV per atom



2.
Below is a relaxed Ce4ZnGe2 crystal, with properties calculated at the PBE-GGA level.

```
Ce4ZnGe2
1.0
-3.9534 2.0020 2.0315
-4.4438 -1.2517 -1.5654
-3.0641 -6.5734 6.3637
Ce Zn Ge
4 1 2
Direct
0.3791 0.3791 0.8628
0.2043 0.2043 0.3872
0.7957 0.7957 0.6128
0.6209 0.6209 0.1372
0.0000 0.0000 0.0000
0.0929 0.0929 0.7214
0.9071 0.9071 0.2786
```

Summary:
ΔH_f (0 K)   -0.27 eV per atom



3.
Below is a relaxed Y2ZrFe crystal, with properties calculated at the PBE-GGA level.

```
Y2ZrFe
1.0
-9.6493 0.8755 1.4598
-9.5853 -2.0035 -0.3369
-9.0851 -2.0861 3.0193
Fe Y Zr
1 2 1
Direct
0.7500 0.7500 0.7500
0.0139 0.0139 0.0139
0.4861 0.4861 0.4861
0.2500 0.2500 0.2500
```

Summary:
ΔH_f (0 K)   0.31 eV per atom



4.
Below is a relaxed Pm3Zn8Au crystal, with properties calculated at the PBE-GGA level.

```
Pm3Zn8Au
1.0
5.4560 0.0000 0.0000
2.7280 4.7250 0.0000
2.7280 1.5750 8.9817
Pm Zn Au
3 8 1
Direct
0.3776 0.3776 0.8671
0.9914 0.9914 0.0257
0.5051 0.5051 0.4846
0.9358 0.4386 0.1871
0.4361 0.9398 0.6843
0.4386 0.4386 0.1871
0.9398 0.9398 0.6843
0.1885 0.1885 0.4344
0.6882 0.6882 0.9353
0.4386 0.9358 0.1871
0.9398 0.4361 0.6843
0.8704 0.8704 0.3888
```

Summary:
ΔH_f (0 K)   -0.32 eV per atom



5.
Below is a relaxed Ac2Mg3 crystal, with properties calculated at the PBE-GGA level.

```
Ac2Mg3
1.0
5.4299 0.0000 0.0000
0.0000 7.8661 0.0000
0.0000 0.0000 7.8661
Ac Mg
4 6
Direct
0.5000 0.8308 0.3308
0.5000 0.6692 0.8308
0.5000 0.3308 0.1692
0.5000 0.1692 0.6692
0.0000 0.0000 0.0000
0.0000 0.5000 0.5000
0.0000 0.1339 0.3661
0.0000 0.3661 0.8661
0.0000 0.6339 0.1339
0.0000 0.8661 0.6339
```

Summary:
ΔH_f (0 K)   -0.01 eV per atom



6.
Below is a relaxed Y2ErSb crystal, with properties calculated at the PBE-GGA level.

```
Y2ErSb
1.0
-1.5904 -2.6340 3.6194
4.3963 -1.8349 0.5964
1.0673 3.5492 3.0519
Y Sb Er
2 1 1
Direct
0.0000 0.0000 0.5000
0.0000 0.5000 0.0000
0.5000 0.0000 0.0000
0.5000 0.5000 0.5000
```

Summary:
E_form (uncorrected)   -0.460 eV per atom



7.
Below is a relaxed InSb2Au crystal, with properties calculated at the PBE-GGA level.

```
InSb2Au
1.0
4.2955 0.0000 0.0000
2.1477 3.7200 0.0000
2.1477 1.2400 6.8363
In Sb Au
1 2 1
Direct
0.5012 0.5012 0.4963
0.0667 0.0667 0.7998
0.2649 0.2649 0.2053
0.6671 0.6671 0.9986
```

Summary:
E_form (uncorrected)   0.008 eV per atom



8.
Below is a relaxed HfTlTe2 crystal, with properties calculated at the PBE-GGA level.

```
HfTlTe2
1.0
7.6058 0.0000 0.0000
0.0000 7.6058 0.0000
3.8029 3.8029 3.6844
Tl Te Hf
2 4 2
Direct
0.7500 0.2500 0.5000
0.2500 0.7500 0.5000
0.7501 0.2501 0.0000
0.2499 0.7499 0.0000
0.2501 0.2499 0.0000
0.7499 0.7501 0.0000
0.7500 0.7500 0.5000
0.2500 0.2500 0.5000
```

Summary:
E_form (uncorrected)   -0.001 eV per atom



9.
Below is a relaxed Y2NiCl crystal, with properties calculated at the PBE-GGA level.

```
Y2NiCl
1.0
-0.3348 1.8731 -4.8648
-3.8382 -3.4476 -0.8182
-2.6831 1.9430 0.2318
Cl Ni Y
1 1 2
Direct
0.5000 0.0000 0.5000
0.0000 0.5000 0.5000
0.0000 0.0000 0.0000
0.5000 0.5000 0.0000
```

Summary:
E_form (uncorrected)   -0.570 eV per atom



10.
Below is a relaxed Ti2SbAu crystal, with properties calculated at the PBE-GGA level.

```
Ti2SbAu
1.0
-6.9072 2.6798 0.3280
-1.4485 -2.9182 -6.6622
-5.0672 -2.5663 -1.9019
Sb Au Ti
2 2 4
Direct
0.5000 0.5000 0.0000
0.2500 0.7500 0.5000
0.0000 0.0000 0.0000
0.7500 0.2500 0.5000
0.6358 0.1250 0.2500
0.1142 0.6250 0.2500
0.3750 0.3642 0.7500
0.8750 0.8858 0.7500
```

Summary:
E_form (uncorrected)   -0.120 eV per atom



11.
Below is a relaxed Pr6Sm2Th crystal, with properties calculated at the PBE-GGA level.

```
Pr6Sm2Th
1.0
-1.1541 0.9745 3.3421
-2.4230 -1.0678 -2.5378
2.5920 -26.0835 8.5004
Pr Sm Th
6 2 1
Direct
0.6667 0.3333 0.8926
0.3333 0.6667 0.4355
0.3333 0.6667 0.7802
0.3333 0.6667 0.2198
0.3333 0.6667 0.5645
0.6667 0.3333 0.1074
0.6667 0.3333 0.3300
0.6667 0.3333 0.6700
0.3333 0.6667 0.0000
```

Summary:
ΔH_f (0 K)   0.07 eV per atom



12.
Below is a relaxed Ta2Ir crystal, with properties calculated at the PBE-GGA level.

```
Ta2Ir
1.0
-2.0595 -1.5844 -3.7389
-1.5246 -1.1978 4.1198
-1.7243 2.2223 0.0080
Ir Ta
1 2
Direct
0.0000 0.0000 0.0000
0.3333 0.6667 0.3269
0.6667 0.3333 0.6731
```

Summary:
ΔH_f (0 K)   -0.18 eV per atom



13.
Below is a relaxed Fe2CuP crystal, with properties calculated at the PBE-GGA level.

```
Fe2CuP
1.0
-1.2650 -6.6746 3.5603
0.8691 -5.8703 4.8590
-1.5070 -5.0296 5.5909
Cu Fe P
1 2 1
Direct
0.7500 0.7500 0.7500
0.9908 0.9908 0.9908
0.5092 0.5092 0.5092
0.2500 0.2500 0.2500
```

Summary:
ΔH_f (0 K)   0.04 eV per atom



14.
Below is a relaxed Mn5Fe crystal, with properties calculated at the PBE-GGA level.

```
Mn5Fe
1.0
2.4792 0.0000 0.0000
1.2396 6.4544 0.0000
0.0000 0.0000 3.9860
Fe Mn
1 5
Direct
0.0005 0.9990 0.0000
0.6653 0.6694 0.0000
0.3342 0.3317 0.0000
0.5552 0.8897 0.5000
0.2228 0.5543 0.5000
0.8887 0.2226 0.5000
```

Summary:
ΔH_f (0 K)   0.05 eV per atom



15.
Below is a relaxed Pr12Y7Tm crystal, with properties calculated at the PBE-GGA level.

```
Pr12Y7Tm
1.0
8.6463 1.1527 1.7301
-1.2970 8.6258 1.7301
-1.2970 -1.7256 8.6267
Pr Y Tm
12 7 1
Direct
0.8559 0.2607 0.7272
0.7393 0.2728 0.1441
0.6127 0.1410 0.4888
0.8590 0.5112 0.3873
0.2728 0.1441 0.7393
0.5112 0.3873 0.8590
0.4888 0.6127 0.1410
0.7272 0.8559 0.2607
0.1410 0.4888 0.6127
0.3873 0.8590 0.5112
0.2607 0.7272 0.8559
0.1441 0.7393 0.2728
0.8530 0.6150 0.9347
0.3850 0.0653 0.1470
0.0653 0.1470 0.3850
0.5000 0.5000 0.5000
0.9347 0.8530 0.6150
0.6150 0.9347 0.8530
0.1470 0.3850 0.0653
0.0000 0.0000 0.0000
```

Summary:
ΔH_f (0 K)   0.21 eV per atom



16.
Below is a relaxed MoI crystal, with properties calculated at the PBE-GGA level.

```
MoI
1.0
-3.3368 -5.7684 -1.7062
-1.1087 -1.3279 6.6578
-4.4343 2.6284 -0.2142
Mo I
4 4
Direct
0.3900 0.6100 0.0000
0.8900 0.8900 0.5000
0.1100 0.1100 0.5000
0.6100 0.3900 0.0000
0.2229 0.2229 0.0000
0.7229 0.2771 0.5000
0.2771 0.7229 0.5000
0.7771 0.7771 0.0000
```

Summary:
E_form (uncorrected)   0.841 eV per atom



17.
Below is a relaxed LiPa2In8 crystal, with properties calculated at the PBE-GGA level.

```
LiPa2In8
1.0
-3.1819 0.3287 3.4412
-1.3690 -4.4145 -0.8442
8.2622 -4.0982 8.0312
Li Pa In
1 2 8
Direct
0.0000 0.0000 0.0000
0.0000 0.0000 0.3134
0.0000 0.0000 0.6866
0.0000 0.5000 0.5000
0.5000 0.0000 0.5000
0.5000 0.5000 0.3123
0.5000 0.5000 0.6877
0.0000 0.5000 0.1263
0.5000 0.0000 0.1263
0.0000 0.5000 0.8737
0.5000 0.0000 0.8737
```

Summary:
ΔH_f (0 K)   -0.12 eV per atom



18.
Below is a relaxed Ga2Se3 crystal, with properties calculated at the PBE-GGA level.

```
Ga2Se3
1.0
3.6908 5.6280 1.6773
-3.6908 5.6280 1.6773
0.0000 7.0516 8.8394
Ga Se
4 6
Direct
0.5141 0.5196 0.6911
0.5196 0.5141 0.1911
0.8442 0.0270 0.5366
0.0270 0.8442 0.0366
0.8581 0.0908 0.8305
0.4638 0.6826 0.8860
0.0908 0.8581 0.3305
0.6826 0.4638 0.3860
0.9943 0.1610 0.0856
0.1610 0.9943 0.5856
```

Summary:
E_form (uncorrected)   -0.303 eV per atom



19.
Below is a relaxed RuPbAu2 crystal, with properties calculated at the PBE-GGA level.

```
RuPbAu2
1.0
-2.3039 -0.5364 4.3546
3.6833 -1.5113 2.9509
-0.0383 3.9849 -2.9457
Au Pb Ru
2 1 1
Direct
0.0000 0.0000 0.0000
0.2500 0.7500 0.5000
0.5000 0.5000 0.0000
0.7500 0.2500 0.5000
```

Summary:
ΔH_f (0 K)   0.39 eV per atom



20.
Below is a relaxed Ca2Pd3Pb crystal, with properties calculated at the PBE-GGA level.

```
Ca2Pd3Pb
1.0
5.7451 0.0000 0.0000
-2.8725 4.9754 0.0000
0.0000 0.0000 8.9423
Ca Pd Pb
4 6 2
Direct
0.6667 0.3333 0.4352
0.3333 0.6667 0.5648
0.3333 0.6667 0.9352
0.6667 0.3333 0.0648
0.1737 0.3475 0.2500
0.3475 0.1737 0.7500
0.8263 0.6525 0.7500
0.1737 0.8263 0.2500
0.8263 0.1737 0.7500
0.6525 0.8263 0.2500
0.0000 0.0000 0.5000
0.0000 0.0000 0.0000
```

Summary:
ΔH_f (0 K)   -0.62 eV per atom



21.
Below is a relaxed U2Mn3In2 crystal, with properties calculated at the PBE-GGA level.

```
U2Mn3In2
1.0
4.2917 0.0000 -1.5921
0.0374 4.8694 0.1007
-0.0859 1.1325 6.3487
U Mn In
2 3 2
Direct
0.8514 0.7753 0.7028
0.1486 0.2247 0.2972
0.0000 0.0000 0.0000
0.7959 0.3908 0.5919
0.2041 0.6092 0.4081
0.5753 0.7211 0.1506
0.4247 0.2789 0.8494
```

Summary:
ΔH_f (0 K)   -0.05 eV per atom



22.
Below is a relaxed MnHgAu4 crystal, with properties calculated at the PBE-GGA level.

```
MnHgAu4
1.0
3.3825 0.0000 0.0002
0.0000 3.3832 0.0002
-0.0002 -0.0001 9.5908
Mn Hg Au
1 1 4
Direct
0.5000 0.5000 0.5000
0.0000 0.0000 0.0000
0.5000 0.5000 0.8157
0.5000 0.5000 0.1843
0.0000 0.0000 0.6478
0.0000 0.0000 0.3522
```

Summary:
ΔH_f (0 K)   0.00 eV per atom



23.
Below is a relaxed Ba2AgSn3 crystal, with properties calculated at the PBE-GGA level.

```
Ba2AgSn3
1.0
7.0226 0.2612 0.0000
-0.0118 7.0274 0.0000
-3.5054 -3.6443 8.4181
Ba Ag Sn
4 2 6
Direct
0.2500 0.7500 0.5000
0.7557 0.7557 0.0000
0.7500 0.2500 0.5000
0.2443 0.2443 0.0000
0.6669 0.6669 0.3339
0.3331 0.3331 0.6661
0.3410 0.8286 0.1697
0.1714 0.6590 0.8303
0.6590 0.1714 0.8303
0.8286 0.3410 0.1697
0.1693 0.1693 0.3386
0.8307 0.8307 0.6614
```

Summary:
ΔH_f (0 K)   -0.56 eV per atom



24.
Below is a relaxed CaAg2Pt crystal, with properties calculated at the PBE-GGA level.

```
CaAg2Pt
1.0
-3.5684 -1.8659 -1.0421
1.1294 -2.7091 0.9836
-1.0883 -1.5339 6.4731
Ca Ag Pt
1 2 1
Direct
0.0000 0.4822 0.5183
0.0000 0.9936 0.0043
0.5000 0.2743 0.2248
0.5000 0.7500 0.7526
```

Summary:
ΔH_f (0 K)   -0.29 eV per atom



Ordered M_tot results: 0.00, 4.13, 1.48, 0.00, 0.00, 0.00, 0.00, 0.00, 0.00, 0.00, 0.00, 0.00, 1.35, 0.04, 0.00, 0.01, 1.94, 0.00, 0.00, 0.00, 0.34, 3.97, 0.00, 0.00; unit μB/cell.